(1)
VASP calculation (PBE) on Er3Zn after structural relaxation.

Summary:
Magnetic moment: 0.47 Bohr magnetons per cell
Space-group type: Pmm2, No. 25

Cell: 3.4913 3.4241 9.5252 Å, 90.00 90.00 90.00°
Last column: magnetic moment on the atom in μB.
Fractional positions:
Zn 0.0000 0.0000 0.9812  0.01
Er 0.5000 0.5000 0.1557  0.19
Er 0.5000 0.0000 0.7268  0.05
Er 0.0000 0.5000 0.4696  0.13



(2)
VASP calculation (PBE) on CoHg4Pb after structural relaxation.

Summary:
Magnetic moment: 1.77 Bohr magnetons per cell
Space-group type: F-43m, No. 216

Cell: 5.9099 5.9099 5.9099 Å, 60.00 60.00 60.00°
Last column: magnetic moment on the atom in μB.
Fractional positions:
Hg 0.3745 0.3745 0.8765  -0.01
Hg 0.3745 0.8765 0.3745  -0.01
Co 0.0000 0.0000 0.0000  1.91
Pb 0.7500 0.7500 0.7500  -0.02
Hg 0.3745 0.3745 0.3745  -0.01
Hg 0.8765 0.3745 0.3745  -0.01



| no. | E (eV for the cell shown) |
| --- | --- |
| 1 | -14.551 |
| 2 | -8.716 |